No. 1
# AsOsRh2 | the Alexandria database | PBE-GGA | relaxed
data_AsOsRh2
_cell_length_a 8.6215
_cell_length_b 8.6215
_cell_length_c 8.6215
_cell_angle_alpha 18.79
_cell_angle_beta 18.79
_cell_angle_gamma 18.79
_symmetry_space_group_name_H-M 'P 1'
_symmetry_Int_Tables_number 1
_symmetry_space_group_name_Hall 'P 1'
loop_
_atom_site_label
_atom_site_type_symbol
_atom_site_fract_x
_atom_site_fract_y
_atom_site_fract_z
Rh1 Rh 0.9968 0.9968 0.9968
Rh2 Rh 0.5032 0.5032 0.5032
Os1 Os 0.7500 0.7500 0.7500
As1 As 0.2500 0.2500 0.2500
# ΔE_f = 0.04 eV/atom
# Space-group type = R-3m (166)
# Size of the total moment = 0.00 μB/atom

=====

No. 2
# VGaH | the Alexandria database | PBE-GGA | relaxed
data_VGaH
_cell_length_a 3.4558
_cell_length_b 3.4558
_cell_length_c 6.1126
_cell_angle_alpha 90.00
_cell_angle_beta 90.00
_cell_angle_gamma 90.00
_symmetry_space_group_name_H-M 'P 1'
_symmetry_Int_Tables_number 1
_symmetry_space_group_name_Hall 'P 1'
loop_
_atom_site_label
_atom_site_type_symbol
_atom_site_fract_x
_atom_site_fract_y
_atom_site_fract_z
H1 H 0.5000 0.0000 0.6231
H2 H 0.0000 0.5000 0.3769
Ga1 Ga 0.0000 0.5000 0.8666
Ga2 Ga 0.5000 0.0000 0.1334
V1 V 0.5000 0.5000 0.5000
V2 V 0.0000 0.0000 0.5000
# Excess energy over the best structure of this formula in the dataset = 292.6 meV/atom
# Space-group type = P4/nmm (129)
# Size of the total moment = 0.00 μB/atom

=====

No. 3
# SnIrIO2 | the Alexandria database | PBE-GGA | relaxed
data_SnIrIO2
_cell_length_a 4.1603
_cell_length_b 4.1603
_cell_length_c 5.4619
_cell_angle_alpha 90.00
_cell_angle_beta 90.00
_cell_angle_gamma 90.00
_symmetry_space_group_name_H-M 'P 1'
_symmetry_Int_Tables_number 1
_symmetry_space_group_name_Hall 'P 1'
loop_
_atom_site_label
_atom_site_type_symbol
_atom_site_fract_x
_atom_site_fract_y
_atom_site_fract_z
Ir1 Ir 0.0000 0.0000 0.0000
O1 O 0.0000 0.5000 0.0000
O2 O 0.5000 0.0000 0.0000
I1 I 0.0000 0.0000 0.5000
Sn1 Sn 0.5000 0.5000 0.5000
# Excess energy over the best structure of this formula in the dataset = 9.6 meV/atom
# Space-group type = P4/mmm (123)
# Size of the total moment = 0.14 μB/atom
# Energy relative to the elements, uncorrected = 0.159 eV per atom

=====

No. 4
# SmYI3 | the Alexandria database | PBE-GGA | relaxed
data_SmYI3
_cell_length_a 4.1071
_cell_length_b 10.2693
_cell_length_c 10.7349
_cell_angle_alpha 72.58
_cell_angle_beta 78.97
_cell_angle_gamma 78.46
_symmetry_space_group_name_H-M 'P 1'
_symmetry_Int_Tables_number 1
_symmetry_space_group_name_Hall 'P 1'
loop_
_atom_site_label
_atom_site_type_symbol
_atom_site_fract_x
_atom_site_fract_y
_atom_site_fract_z
Sm1 Sm 0.1328 0.0115 0.7228
Sm2 Sm 0.8672 0.9885 0.2772
Y1 Y 0.5661 0.8294 0.0384
Y2 Y 0.4339 0.1706 0.9616
I1 I 0.0331 0.6801 0.2537
I2 I 0.3333 0.8287 0.5047
I3 I 0.6667 0.1713 0.4953
I4 I 0.7892 0.3019 0.1197
I5 I 0.9669 0.3199 0.7463
I6 I 0.2108 0.6981 0.8803
# Excess energy over the best structure of this formula in the dataset = 0.0 meV/atom
# Space-group type = C2/m (12)
# Size of the total moment = 0.00 μB/atom
# Energy relative to the elements, uncorrected = -1.119 eV per atom

=====

No. 5
# Cs3Pt2Cl9 | the Alexandria database | PBE-GGA | relaxed
data_Cs3Pt2Cl9
_cell_length_a 7.4139
_cell_length_b 7.4139
_cell_length_c 18.8574
_cell_angle_alpha 90.00
_cell_angle_beta 90.00
_cell_angle_gamma 120.00
_symmetry_space_group_name_H-M 'P 1'
_symmetry_Int_Tables_number 1
_symmetry_space_group_name_Hall 'P 1'
loop_
_atom_site_label
_atom_site_type_symbol
_atom_site_fract_x
_atom_site_fract_y
_atom_site_fract_z
Cl1 Cl 0.3580 0.1790 0.0948
Cl2 Cl 0.1790 0.8210 0.9052
Cl3 Cl 0.1790 0.3580 0.9052
Cl4 Cl 0.4846 0.5154 0.7500
Cl5 Cl 0.3580 0.1790 0.4052
Cl6 Cl 0.8210 0.6420 0.4052
Cl7 Cl 0.1790 0.3580 0.5948
Cl8 Cl 0.0309 0.5154 0.7500
Cl9 Cl 0.1790 0.8210 0.5948
Cl10 Cl 0.8210 0.6420 0.0948
Cl11 Cl 0.5154 0.4846 0.2500
Cl12 Cl 0.4846 0.9691 0.7500
Cl13 Cl 0.5154 0.0309 0.2500
Cl14 Cl 0.6420 0.8210 0.9052
Cl15 Cl 0.6420 0.8210 0.5948
Cl16 Cl 0.8210 0.1790 0.0948
Cl17 Cl 0.9691 0.4846 0.2500
Cl18 Cl 0.8210 0.1790 0.4052
Cs1 Cs 0.3333 0.6667 0.4325
Cs2 Cs 0.0000 0.0000 0.2500
Cs3 Cs 0.3333 0.6667 0.0675
Cs4 Cs 0.0000 0.0000 0.7500
Cs5 Cs 0.6667 0.3333 0.5675
Cs6 Cs 0.6667 0.3333 0.9325
Pt1 Pt 0.3333 0.6667 0.6665
Pt2 Pt 0.6667 0.3333 0.1665
Pt3 Pt 0.3333 0.6667 0.8335
Pt4 Pt 0.6667 0.3333 0.3335
# Space-group type = P6_3/mmc (194)
# Size of the total moment = 0.15 μB/atom
# Energy relative to the elements, uncorrected = -1.084 eV per atom

=====

No. 6
# AcLaTeS | the Alexandria database | PBE-GGA | relaxed
data_AcLaTeS
_cell_length_a 4.9863
_cell_length_b 4.9863
_cell_length_c 10.7682
_cell_angle_alpha 90.00
_cell_angle_beta 90.00
_cell_angle_gamma 90.00
_symmetry_space_group_name_H-M 'P 1'
_symmetry_Int_Tables_number 1
_symmetry_space_group_name_Hall 'P 1'
loop_
_atom_site_label
_atom_site_type_symbol
_atom_site_fract_x
_atom_site_fract_y
_atom_site_fract_z
Te1 Te 0.0000 0.5000 0.2986
Te2 Te 0.5000 0.0000 0.7014
Ac1 Ac 0.0000 0.5000 0.8593
Ac2 Ac 0.5000 0.0000 0.1407
S1 S 0.0000 0.0000 0.0000
S2 S 0.5000 0.5000 0.0000
La1 La 0.0000 0.0000 0.5000
La2 La 0.5000 0.5000 0.5000
# Space-group type = P4/nmm (129)
# Size of the total moment = 0.16 μB/atom
# Energy relative to the elements, uncorrected = -1.511 eV per atom

=====

No. 7
# In12As3F5 | the Alexandria database | PBE-GGA | relaxed
data_In12As3F5
_cell_length_a 14.0359
_cell_length_b 14.0359
_cell_length_c 14.0359
_cell_angle_alpha 109.47
_cell_angle_beta 109.47
_cell_angle_gamma 109.47
_symmetry_space_group_name_H-M 'P 1'
_symmetry_Int_Tables_number 1
_symmetry_space_group_name_Hall 'P 1'
loop_
_atom_site_label
_atom_site_type_symbol
_atom_site_fract_x
_atom_site_fract_y
_atom_site_fract_z
In1 In 0.1786 0.0866 0.9674
In2 In 0.3214 0.5326 0.4134
In3 In 0.3808 0.9674 0.7888
In4 In 0.5866 0.6192 0.4080
In5 In 0.9674 0.3808 0.2888
In6 In 0.0920 0.1786 0.2112
In7 In 0.7888 0.3214 0.9080
In8 In 0.5326 0.2112 0.1192
In9 In 0.6192 0.5866 0.9080
In10 In 0.4674 0.7888 0.8808
In11 In 0.2888 0.4080 0.8214
In12 In 0.6192 0.0326 0.2112
In13 In 0.1786 0.0920 0.7112
In14 In 0.0326 0.6192 0.7112
In15 In 0.7112 0.1192 0.0326
In16 In 0.9674 0.5866 0.1786
In17 In 0.4080 0.2888 0.3214
In18 In 0.4134 0.3808 0.5920
In19 In 0.2888 0.8808 0.9674
In20 In 0.5866 0.9674 0.6786
In21 In 0.0866 0.1786 0.4674
In22 In 0.9080 0.0866 0.6192
In23 In 0.0866 0.9080 0.1192
In24 In 0.3214 0.7888 0.4080
In25 In 0.6786 0.4674 0.5866
In26 In 0.2112 0.6786 0.0920
In27 In 0.3808 0.4134 0.0920
In28 In 0.4134 0.0326 0.3214
In29 In 0.5326 0.3214 0.9134
In30 In 0.4080 0.1192 0.5866
In31 In 0.6786 0.2112 0.5920
In32 In 0.0326 0.4134 0.8214
In33 In 0.9134 0.8214 0.5326
In34 In 0.0920 0.9134 0.3808
In35 In 0.8808 0.5920 0.9134
In36 In 0.9134 0.0920 0.8808
In37 In 0.7112 0.5920 0.1786
In38 In 0.4674 0.6786 0.0866
In39 In 0.8808 0.2888 0.4674
In40 In 0.7888 0.4674 0.3808
In41 In 0.1192 0.4080 0.0866
In42 In 0.9080 0.8214 0.7888
In43 In 0.8214 0.9134 0.0326
In44 In 0.1192 0.7112 0.5326
In45 In 0.5920 0.7112 0.6786
In46 In 0.5920 0.8808 0.4134
In47 In 0.8214 0.9080 0.2888
In48 In 0.2112 0.5326 0.6192
F1 F 0.5000 0.5000 0.5000
F2 F 0.7500 0.1250 0.8750
F3 F 0.8750 0.6250 0.7500
F4 F 0.3750 0.1250 0.7500
F5 F 0.2500 0.8750 0.1250
F6 F 0.6250 0.7500 0.8750
F7 F 0.1250 0.7500 0.3750
F8 F 0.0000 0.0000 0.5000
F9 F 0.6250 0.8750 0.2500
F10 F 0.7500 0.6250 0.3750
F11 F 0.2500 0.3750 0.6250
F12 F 0.5000 0.5000 0.0000
F13 F 0.5000 0.0000 0.5000
F14 F 0.8750 0.2500 0.6250
F15 F 0.0000 0.5000 0.5000
F16 F 0.5000 0.0000 0.0000
F17 F 0.0000 0.0000 0.0000
F18 F 0.0000 0.5000 0.0000
F19 F 0.1250 0.3750 0.2500
F20 F 0.3750 0.2500 0.1250
As1 As 0.3750 0.7500 0.6250
As2 As 0.1250 0.2500 0.8750
As3 As 0.8750 0.7500 0.1250
As4 As 0.2500 0.1250 0.3750
As5 As 0.6250 0.3750 0.7500
As6 As 0.7500 0.8750 0.6250
As7 As 0.6250 0.2500 0.3750
As8 As 0.3750 0.6250 0.2500
As9 As 0.2500 0.6250 0.8750
As10 As 0.1250 0.8750 0.7500
As11 As 0.7500 0.3750 0.1250
As12 As 0.8750 0.1250 0.2500
# Space-group type = Ia-3d (230)
# Size of the total moment = 0.00 μB/atom
# Energy relative to the elements, uncorrected = -0.645 eV per atom

=====

No. 8
# Y2Ti2Mn | the Alexandria database | PBE-GGA | relaxed
data_Y2Ti2Mn
_cell_length_a 6.3169
_cell_length_b 6.3169
_cell_length_c 5.2550
_cell_angle_alpha 90.00
_cell_angle_beta 90.00
_cell_angle_gamma 90.00
_symmetry_space_group_name_H-M 'P 1'
_symmetry_Int_Tables_number 1
_symmetry_space_group_name_Hall 'P 1'
loop_
_atom_site_label
_atom_site_type_symbol
_atom_site_fract_x
_atom_site_fract_y
_atom_site_fract_z
Y1 Y 0.3256 0.1744 0.5000
Y2 Y 0.6744 0.8256 0.5000
Y3 Y 0.1744 0.6744 0.5000
Y4 Y 0.8256 0.3256 0.5000
Ti1 Ti 0.8436 0.6564 0.0000
Ti2 Ti 0.1564 0.3436 0.0000
Ti3 Ti 0.6564 0.1564 0.0000
Ti4 Ti 0.3436 0.8436 0.0000
Mn1 Mn 0.5000 0.5000 0.0000
Mn2 Mn 0.0000 0.0000 0.0000
# ΔE_f = 0.21 eV/atom
# Space-group type = P4/mbm (127)
# Size of the total moment = 0.00 μB/atom

=====

No. 9
# Rb2Cd2Ge | the Alexandria database | PBE-GGA | relaxed
data_Rb2Cd2Ge
_cell_length_a 7.5883
_cell_length_b 7.5883
_cell_length_c 6.0090
_cell_angle_alpha 90.00
_cell_angle_beta 90.00
_cell_angle_gamma 90.00
_symmetry_space_group_name_H-M 'P 1'
_symmetry_Int_Tables_number 1
_symmetry_space_group_name_Hall 'P 1'
loop_
_atom_site_label
_atom_site_type_symbol
_atom_site_fract_x
_atom_site_fract_y
_atom_site_fract_z
Cd1 Cd 0.6427 0.1427 0.0000
Cd2 Cd 0.1427 0.3573 0.0000
Cd3 Cd 0.3573 0.8573 0.0000
Cd4 Cd 0.8573 0.6427 0.0000
Rb1 Rb 0.8198 0.3198 0.5000
Rb2 Rb 0.3198 0.1802 0.5000
Rb3 Rb 0.1802 0.6802 0.5000
Rb4 Rb 0.6802 0.8198 0.5000
Ge1 Ge 0.5000 0.5000 0.0000
Ge2 Ge 0.0000 0.0000 0.0000
# ΔE_f = 0.04 eV/atom
# Excess energy over the best structure of this formula in the dataset = 78.8 meV/atom
# Space-group type = P4/mbm (127)
# Size of the total moment = 0.00 μB/atom

=====

No. 10
# LaPuTh | the Alexandria database | PBE-GGA | relaxed
data_LaPuTh
_cell_length_a 4.9313
_cell_length_b 7.0967
_cell_length_c 11.1787
_cell_angle_alpha 71.85
_cell_angle_beta 90.00
_cell_angle_gamma 90.00
_symmetry_space_group_name_H-M 'P 1'
_symmetry_Int_Tables_number 1
_symmetry_space_group_name_Hall 'P 1'
loop_
_atom_site_label
_atom_site_type_symbol
_atom_site_fract_x
_atom_site_fract_y
_atom_site_fract_z
La1 La 0.0000 0.4234 0.1687
La2 La 0.0000 0.5766 0.8313
La3 La 0.5000 0.0766 0.3313
La4 La 0.5000 0.9234 0.6687
Th1 Th 0.5000 0.2430 0.9943
Th2 Th 0.5000 0.7570 0.0057
Th3 Th 0.0000 0.7430 0.4943
Th4 Th 0.0000 0.2570 0.5057
Pu1 Pu 0.5000 0.5871 0.3375
Pu2 Pu 0.0000 0.9129 0.1625
Pu3 Pu 0.0000 0.0871 0.8375
Pu4 Pu 0.5000 0.4129 0.6625
# ΔE_f = 0.14 eV/atom
# Excess energy over the best structure of this formula in the dataset = 26.9 meV/atom
# Space-group type = C2/m (12)
# Size of the total moment = 1.94 μB/atom